(one)
Below is a relaxed KNiTeN2 crystal, with properties calculated at the GGA-PBE level.

abc: 4.711 4.711 6.833
angles: 90.00 90.00 90.00
Element x y z (fractional)
K 0.000 0.000 0.000
Ni 0.500 0.500 0.500
Te 0.000 0.000 0.500
N 0.000 0.500 0.000
N 0.500 0.000 0.000

Space-group type = P4/mmm (123)
Total magnetization = 6.7 μB/cell
N(E_F) = 8.4 states/eV/cell
Calculated volume = 152 Å³/f.u.



(two)
Below is a relaxed KNiTeN2 crystal, with properties calculated at the GGA-PBE level.

abc: 4.214 4.214 5.247
angles: 90.00 90.00 90.00
Element x y z (fractional)
K 0.000 0.000 0.000
Ni 0.500 0.500 0.500
Te 0.500 0.500 0.000
N 0.000 0.500 0.500
N 0.500 0.000 0.500

Space-group type = P4/mmm (123)
Total magnetization = 3.7 μB/cell
N(E_F) = 2.4 states/eV/cell
Calculated volume = 93 Å³/f.u.



Which of them is most stable? Easy: (two).



(one)
Below is a relaxed KNpN2 crystal, with properties calculated at the GGA-PBE level.

abc: 6.699 6.699 6.699
angles: 30.45 30.45 30.45
Element x y z (fractional)
K 0.000 0.000 0.000
Np 0.500 0.500 0.500
N 0.219 0.219 0.219
N 0.781 0.781 0.781

Space-group type = R-3m (166)
Total magnetization = 2.0 μB/cell
N(E_F) = 5.6 states/eV/cell
Calculated volume = 68 Å³/f.u.



(two)
Below is a relaxed KNpN2 crystal, with properties calculated at the GGA-PBE level.

abc: 6.795 6.795 6.795
angles: 29.93 29.93 29.93
Element x y z (fractional)
K 0.000 0.000 0.000
Np 0.171 0.171 0.171
N 0.557 0.557 0.557
N 0.786 0.786 0.786

Space-group type = R3m (160)
Total magnetization = 2.0 μB/cell
N(E_F) = 5.6 states/eV/cell
Calculated volume = 69 Å³/f.u.



Which of them is most stable? Easy: (one).



(one)
Below is a relaxed KP2NO crystal, with properties calculated at the GGA-PBE level.

abc: 3.832 3.832 6.587
angles: 90.00 90.00 90.00
Element x y z (fractional)
K 0.000 0.000 0.000
P 0.000 0.500 0.500
P 0.500 0.000 0.500
N 0.500 0.500 0.500
O 0.500 0.500 0.000

Space-group type = P4/mmm (123)
Total magnetization = 1.7 μB/cell
N(E_F) = 3.9 states/eV/cell
Calculated volume = 97 Å³/f.u.



(two)
Below is a relaxed KP2NO crystal, with properties calculated at the GGA-PBE level.

abc: 6.439 6.439 4.497
angles: 90.00 90.00 90.00
Element x y z (fractional)
K 0.000 0.000 0.000
P 0.000 0.500 0.000
P 0.500 0.000 0.000
N 0.500 0.500 0.500
O 0.000 0.000 0.500

Space-group type = P4/mmm (123)
Total magnetization = 3.0 μB/cell
N(E_F) = 9.5 states/eV/cell
Calculated volume = 186 Å³/f.u.



Which of them is most stable? Easy: (one).



(one)
Below is a relaxed KS2NO crystal, with properties calculated at the GGA-PBE level.

abc: 6.250 6.250 6.040
angles: 90.00 90.00 90.00
Element x y z (fractional)
K 0.000 0.000 0.000
S 0.000 0.500 0.000
S 0.500 0.000 0.000
N 0.000 0.000 0.500
O 0.500 0.500 0.500

Space-group type = P4/mmm (123)
Total magnetization = 4.5 μB/cell
N(E_F) = 10.3 states/eV/cell
Calculated volume = 236 Å³/f.u.



(two)
Below is a relaxed KS2NO crystal, with properties calculated at the GGA-PBE level.

abc: 4.074 4.074 5.525
angles: 90.00 90.00 90.00
Element x y z (fractional)
K 0.000 0.000 0.000
S 0.000 0.500 0.500
S 0.500 0.000 0.500
N 0.500 0.500 0.000
O 0.500 0.500 0.500

Space-group type = P4/mmm (123)
Total magnetization = 3.4 μB/cell
N(E_F) = 2.7 states/eV/cell
Calculated volume = 92 Å³/f.u.



Which of them is most stable? Easy: (two).



(one)
Below is a relaxed KSe2NO crystal, with properties calculated at the GGA-PBE level.

abc: 6.378 6.378 5.492
angles: 90.00 90.00 90.00
Element x y z (fractional)
K 0.000 0.000 0.000
Se 0.000 0.500 0.000
Se 0.500 0.000 0.000
N 0.000 0.000 0.500
O 0.500 0.500 0.500

Space-group type = P4/mmm (123)
Total magnetization = 8.0 μB/cell
N(E_F) = 9.7 states/eV/cell
Calculated volume = 223 Å³/f.u.



(two)
Below is a relaxed KSe2NO crystal, with properties calculated at the GGA-PBE level.

abc: 4.274 4.274 5.730
angles: 90.00 90.00 90.00
Element x y z (fractional)
K 0.000 0.000 0.000
Se 0.000 0.500 0.500
Se 0.500 0.000 0.500
N 0.500 0.500 0.000
O 0.500 0.500 0.500

Space-group type = P4/mmm (123)
Total magnetization = 3.0 μB/cell
N(E_F) = 3.2 states/eV/cell
Calculated volume = 105 Å³/f.u.



Which of them is most stable? Easy: (two).



(one)
Below is a relaxed KOsN2 crystal, with properties calculated at the GGA-PBE level.

abc: 6.919 6.919 6.919
angles: 27.37 27.37 27.37
Element x y z (fractional)
K 0.000 0.000 0.000
Os 0.500 0.500 0.500
N 0.125 0.125 0.125
N 0.875 0.875 0.875

Space-group type = R-3m (166)
Total magnetization = 0.0 μB/cell
N(E_F) = 2.8 states/eV/cell
Calculated volume = 62 Å³/f.u.



(two)
Below is a relaxed KOsN2 crystal, with properties calculated at the GGA-PBE level.

abc: 7.955 7.955 7.955
angles: 22.10 22.10 22.10
Element x y z (fractional)
K 0.000 0.000 0.000
Os 0.500 0.500 0.500
N 0.422 0.422 0.422
N 0.578 0.578 0.578

Space-group type = R-3m (166)
Total magnetization = 0.0 μB/cell
N(E_F) = 4.1 states/eV/cell
Calculated volume = 62 Å³/f.u.



Which of them is most stable? Easy: (one).



(one)
Below is a relaxed KOsN2 crystal, with properties calculated at the GGA-PBE level.

abc: 4.006 4.006 4.006
angles: 60.00 60.00 60.00
Element x y z (fractional)
K 0.000 0.000 0.000
Os 0.500 0.500 0.500
N 0.250 0.250 0.250
N 0.750 0.750 0.750

Space-group type = Fm-3m (225)
Total magnetization = 1.0 μB/cell
N(E_F) = 2.5 states/eV/cell
Calculated volume = 45 Å³/f.u.



(two)
Below is a relaxed KOsN2 crystal, with properties calculated at the GGA-PBE level.

abc: 6.070 6.070 6.070
angles: 124.95 124.95 81.63
Element x y z (fractional)
K 0.000 0.000 0.000
K 0.750 0.250 0.500
Os 0.250 0.750 0.500
Os 0.500 0.500 0.000
N 0.284 0.625 0.159
N 0.375 0.534 0.659
N 0.466 0.125 0.841
N 0.875 0.716 0.341

Space-group type = I-42d (122)
Total magnetization = 0.0 μB/cell
N(E_F) = 4.2 states/eV/cell
Calculated volume = 72 Å³/f.u.



Which of them is most stable? Easy: (two).



(one)
Below is a relaxed KOsS2N crystal, with properties calculated at the GGA-PBE level.

abc: 5.454 5.454 4.609
angles: 90.00 90.00 90.00
Element x y z (fractional)
K 0.000 0.000 0.000
Os 0.500 0.500 0.500
S 0.000 0.500 0.000
S 0.500 0.000 0.000
N 0.000 0.000 0.500

Space-group type = P4/mmm (123)
Total magnetization = 1.1 μB/cell
N(E_F) = 7.9 states/eV/cell
Calculated volume = 137 Å³/f.u.



(two)
Below is a relaxed KOsS2N crystal, with properties calculated at the GGA-PBE level.

abc: 4.981 4.981 3.751
angles: 90.00 90.00 90.00
Element x y z (fractional)
K 0.000 0.000 0.000
Os 0.500 0.500 0.500
S 0.000 0.500 0.500
S 0.500 0.000 0.500
N 0.500 0.500 0.000

Space-group type = P4/mmm (123)
Total magnetization = 0.3 μB/cell
N(E_F) = 4.5 states/eV/cell
Calculated volume = 93 Å³/f.u.



Which of them is most stable? Easy: (two).



(one)
Below is a relaxed KOsSN2 crystal, with properties calculated at the GGA-PBE level.

abc: 4.140 4.140 5.974
angles: 90.00 90.00 90.00
Element x y z (fractional)
K 0.000 0.000 0.000
Os 0.500 0.500 0.500
S 0.000 0.000 0.500
N 0.000 0.500 0.000
N 0.500 0.000 0.000

Space-group type = P4/mmm (123)
Total magnetization = 6.8 μB/cell
N(E_F) = 3.6 states/eV/cell
Calculated volume = 102 Å³/f.u.



(two)
Below is a relaxed KOsSN2 crystal, with properties calculated at the GGA-PBE level.

abc: 3.912 3.912 5.097
angles: 90.00 90.00 90.00
Element x y z (fractional)
K 0.000 0.000 0.000
Os 0.500 0.500 0.500
S 0.500 0.500 0.000
N 0.000 0.500 0.500
N 0.500 0.000 0.500

Space-group type = P4/mmm (123)
Total magnetization = 0.1 μB/cell
N(E_F) = 2.9 states/eV/cell
Calculated volume = 78 Å³/f.u.



Which of them is most stable? Easy: (two).



(one)
Below is a relaxed KTeOsN2 crystal, with properties calculated at the GGA-PBE level.

abc: 4.026 4.026 5.687
angles: 90.00 90.00 90.00
Element x y z (fractional)
K 0.000 0.000 0.000
Te 0.500 0.500 0.000
Os 0.500 0.500 0.500
N 0.000 0.500 0.500
N 0.500 0.000 0.500

Space-group type = P4/mmm (123)
Total magnetization = 0.4 μB/cell
N(E_F) = 3.1 states/eV/cell
Calculated volume = 92 Å³/f.u.



(two)
Below is a relaxed KTeOsN2 crystal, with properties calculated at the GGA-PBE level.

abc: 4.570 4.570 6.891
angles: 90.00 90.00 90.00
Element x y z (fractional)
K 0.000 0.000 0.000
Te 0.000 0.000 0.500
Os 0.500 0.500 0.500
N 0.000 0.500 0.000
N 0.500 0.000 0.000

Space-group type = P4/mmm (123)
Total magnetization = 8.6 μB/cell
N(E_F) = 4.4 states/eV/cell
Calculated volume = 144 Å³/f.u.



Which of them is most stable? Easy: (one).



(one)
Below is a relaxed KPS2N crystal, with properties calculated at the GGA-PBE level.

abc: 5.176 5.176 3.241
angles: 90.00 90.00 90.00
Element x y z (fractional)
K 0.000 0.000 0.000
P 0.500 0.500 0.500
S 0.000 0.500 0.500
S 0.500 0.000 0.500
N 0.500 0.500 0.000

Space-group type = P4/mmm (123)
Total magnetization = 0.0 μB/cell
N(E_F) = 2.7 states/eV/cell
Calculated volume = 87 Å³/f.u.



(two)
Below is a relaxed KPS2N crystal, with properties calculated at the GGA-PBE level.

abc: 5.909 5.909 5.100
angles: 90.00 90.00 90.00
Element x y z (fractional)
K 0.000 0.000 0.000
P 0.500 0.500 0.500
S 0.000 0.500 0.000
S 0.500 0.000 0.000
N 0.000 0.000 0.500

Space-group type = P4/mmm (123)
Total magnetization = 3.0 μB/cell
N(E_F) = 3.9 states/eV/cell
Calculated volume = 178 Å³/f.u.



(three)
Below is a relaxed KPS2N crystal, with properties calculated at the GGA-PBE level.

abc: 6.192 6.192 6.744
angles: 90.00 90.00 90.00
Element x y z (fractional)
K 0.000 0.000 0.000
P 0.000 0.000 0.500
S 0.000 0.500 0.000
S 0.500 0.000 0.000
N 0.500 0.500 0.500

Space-group type = P4/mmm (123)
Total magnetization = 5.0 μB/cell
N(E_F) = 3.8 states/eV/cell
Calculated volume = 259 Å³/f.u.



Which of them is most stable? Easy: (one).



(one)
Below is a relaxed KPSe2N crystal, with properties calculated at the GGA-PBE level.

abc: 5.683 5.683 3.183
angles: 90.00 90.00 90.00
Element x y z (fractional)
K 0.000 0.000 0.000
P 0.500 0.500 0.500
Se 0.000 0.500 0.500
Se 0.500 0.000 0.500
N 0.500 0.500 0.000

Space-group type = P4/mmm (123)
Total magnetization = 0.0 μB/cell
N(E_F) = 1.7 states/eV/cell
Calculated volume = 103 Å³/f.u.



(two)
Below is a relaxed KPSe2N crystal, with properties calculated at the GGA-PBE level.

abc: 6.063 6.063 5.006
angles: 90.00 90.00 90.00
Element x y z (fractional)
K 0.000 0.000 0.000
P 0.500 0.500 0.500
Se 0.000 0.500 0.000
Se 0.500 0.000 0.000
N 0.000 0.000 0.500

Space-group type = P4/mmm (123)
Total magnetization = 3.0 μB/cell
N(E_F) = 3.9 states/eV/cell
Calculated volume = 184 Å³/f.u.



Which of them is most stable? Easy: (one).